! KCe2NpS5, optimized geometry, DFT PBE; values from VASP
&SYSTEM
  ibrav = 0, nat = 9, ntyp = 4
/
ATOMIC_SPECIES
K 39.10 K.upf
Ce 140.12 Ce.upf
Np 237.00 Np.upf
S 32.06 S.upf
CELL_PARAMETERS angstrom
-3.9591 -1.9404 -2.3880
3.9590 -0.8261 -5.8925
1.8543 -5.0415 6.2868
ATOMIC_POSITIONS crystal
K 0.0000 0.5000 0.0000
Ce 0.2047 0.2047 0.4095
Ce 0.7953 0.7953 0.5905
Np 0.5000 0.0000 0.0000
S 0.6525 0.9169 0.3050
S 0.3475 0.0831 0.6950
S 0.3475 0.6119 0.6950
S 0.6525 0.3881 0.3050
S 0.0000 0.0000 0.0000
! Magnetic moment in μB/atom: 0.667
! DOS(E_F) in states/eV/atom: 2.029
! Raw formation energy in eV/atom: -1.639

! K2CeNpS4, optimized geometry, DFT PBE; values from VASP
&SYSTEM
  ibrav = 0, nat = 8, ntyp = 4
/
ATOMIC_SPECIES
K 39.10 K.upf
Ce 140.12 Ce.upf
Np 237.00 Np.upf
S 32.06 S.upf
CELL_PARAMETERS angstrom
4.1475 0.0000 0.0000
0.0000 7.1808 0.1179
0.0000 -2.5224 7.3275
ATOMIC_POSITIONS crystal
K 0.5000 0.0000 0.5000
K 0.0000 0.5000 0.5000
Ce 0.0000 0.0000 0.0000
Np 0.5000 0.5000 0.0000
S 0.5000 0.2390 0.2054
S 0.5000 0.7610 0.7946
S 0.0000 0.2710 0.7986
S 0.0000 0.7290 0.2014
! Magnetic moment in μB/atom: 0.625
! DOS(E_F) in states/eV/atom: 1.750
! Raw formation energy in eV/atom: -1.593

! K3CeNp2S6, optimized geometry, DFT PBE; values from VASP
&SYSTEM
  ibrav = 0, nat = 12, ntyp = 4
/
ATOMIC_SPECIES
K 39.10 K.upf
Ce 140.12 Ce.upf
Np 237.00 Np.upf
S 32.06 S.upf
CELL_PARAMETERS angstrom
-1.2612 7.0024 0.6156
-5.3317 -4.4574 -1.6455
0.7332 -1.7431 7.5145
ATOMIC_POSITIONS crystal
K 0.1659 0.8341 0.5000
K 0.8341 0.1659 0.5000
K 0.5000 0.5000 0.5000
Ce 0.0000 0.0000 0.0000
Np 0.3332 0.6668 0.0000
Np 0.6668 0.3332 0.0000
S 0.9324 0.5928 0.7974
S 0.7280 0.7280 0.2027
S 0.0676 0.4072 0.2026
S 0.5928 0.9324 0.7974
S 0.2720 0.2720 0.7973
S 0.4072 0.0676 0.2026
! Magnetic moment in μB/atom: 0.750
! DOS(E_F) in states/eV/atom: 2.175
! Raw formation energy in eV/atom: -1.528

! K2CeNpS6, optimized geometry, DFT PBE; values from VASP
&SYSTEM
  ibrav = 0, nat = 20, ntyp = 4
/
ATOMIC_SPECIES
K 39.10 K.upf
Ce 140.12 Ce.upf
Np 237.00 Np.upf
S 32.06 S.upf
CELL_PARAMETERS angstrom
7.3191 0.0000 -0.0289
0.0000 7.3472 0.0000
0.0247 0.0000 10.3923
ATOMIC_POSITIONS crystal
K 0.0046 0.9758 0.2500
K 0.5046 0.5242 0.7500
K 0.9954 0.0242 0.7500
K 0.4954 0.4758 0.2500
Ce 0.5000 0.0000 0.0000
Ce 0.0000 0.5000 0.5000
Np 0.5000 0.0000 0.5000
Np 0.0000 0.5000 0.0000
S 0.2715 0.7132 0.0244
S 0.7715 0.7868 0.5244
S 0.7285 0.2868 0.9756
S 0.2285 0.2132 0.4756
S 0.2875 0.7281 0.4753
S 0.7875 0.7719 0.9753
S 0.7125 0.2719 0.5247
S 0.2125 0.2281 0.0247
S 0.9524 0.5062 0.2423
S 0.4524 0.9938 0.7423
S 0.0476 0.4938 0.7577
S 0.5476 0.0062 0.2577
! Magnetic moment in μB/atom: 0.111
! DOS(E_F) in states/eV/atom: 0.049
! Raw formation energy in eV/atom: -1.304

! K2Ce2NpS6, optimized geometry, DFT PBE; values from VASP
&SYSTEM
  ibrav = 0, nat = 11, ntyp = 4
/
ATOMIC_SPECIES
K 39.10 K.upf
Ce 140.12 Ce.upf
Np 237.00 Np.upf
S 32.06 S.upf
CELL_PARAMETERS angstrom
7.1409 -0.0105 0.0742
-3.5386 6.2025 0.0742
-1.2758 -2.1929 7.4134
ATOMIC_POSITIONS crystal
K 0.8318 0.1682 0.0000
K 0.1682 0.8318 0.0000
Ce 0.3345 0.6656 0.5000
Ce 0.6656 0.3345 0.5000
Np 0.0000 0.0000 0.5000
S 0.7419 0.7419 0.6956
S 0.0616 0.3929 0.6949
S 0.2581 0.2581 0.3044
S 0.3929 0.0616 0.6949
S 0.9384 0.6071 0.3051
S 0.6071 0.9384 0.3051
! Magnetic moment in μB/atom: 0.455
! DOS(E_F) in states/eV/atom: 1.685
! Raw formation energy in eV/atom: -1.681

! K2Ce2NpSe6, optimized geometry, DFT PBE; values from VASP
&SYSTEM
  ibrav = 0, nat = 11, ntyp = 4
/
ATOMIC_SPECIES
K 39.10 K.upf
Ce 140.12 Ce.upf
Np 237.00 Np.upf
Se 78.96 Se.upf
CELL_PARAMETERS angstrom
-1.5839 -7.0696 1.5861
6.1088 3.1325 2.8062
-5.5533 3.6168 4.7716
ATOMIC_POSITIONS crystal
K 0.8321 0.1679 0.0000
K 0.1679 0.8321 0.0000
Ce 0.3341 0.6659 0.5000
Ce 0.6659 0.3341 0.5000
Np 0.0000 0.0000 0.5000
Se 0.7404 0.7404 0.7009
Se 0.0651 0.3963 0.7003
Se 0.2596 0.2596 0.2991
Se 0.3963 0.0651 0.7003
Se 0.9349 0.6037 0.2997
Se 0.6037 0.9349 0.2997
! Magnetic moment in μB/atom: 0.455
! DOS(E_F) in states/eV/atom: 1.577
! Raw formation energy in eV/atom: -1.545

! K3CeNp2Se6, optimized geometry, DFT PBE; values from VASP
&SYSTEM
  ibrav = 0, nat = 12, ntyp = 4
/
ATOMIC_SPECIES
K 39.10 K.upf
Ce 140.12 Ce.upf
Np 237.00 Np.upf
Se 78.96 Se.upf
CELL_PARAMETERS angstrom
7.4479 -0.0011 0.0002
-3.7231 6.4506 0.0002
-1.2422 -2.1508 7.6905
ATOMIC_POSITIONS crystal
K 0.1659 0.8341 0.5000
K 0.8341 0.1659 0.5000
K 0.5000 0.5000 0.5000
Ce 0.0000 0.0000 0.0000
Np 0.3332 0.6668 0.0000
Np 0.6668 0.3332 0.0000
Se 0.9309 0.5929 0.7929
Se 0.7310 0.7310 0.2069
Se 0.0691 0.4071 0.2071
Se 0.5929 0.9309 0.7929
Se 0.2690 0.2690 0.7931
Se 0.4071 0.0691 0.2071
! Magnetic moment in μB/atom: 0.750
! DOS(E_F) in states/eV/atom: 2.268
! Raw formation energy in eV/atom: -1.402

! K3Ce3NpSe8, optimized geometry, DFT PBE; values from VASP
&SYSTEM
  ibrav = 0, nat = 15, ntyp = 4
/
ATOMIC_SPECIES
K 39.10 K.upf
Ce 140.12 Ce.upf
Np 237.00 Np.upf
Se 78.96 Se.upf
CELL_PARAMETERS angstrom
-5.5880 -5.9933 -2.6809
8.0664 0.0415 -3.0432
-1.3047 -2.6824 8.7162
ATOMIC_POSITIONS crystal
K 0.0000 0.0000 0.0000
K 0.0000 0.5000 0.0000
K 0.5000 0.5000 0.0000
Ce 0.5000 0.0000 0.5000
Ce 0.5000 0.5000 0.5000
Ce 0.0000 0.5000 0.5000
Np 0.0000 0.0000 0.5000
Se 0.2636 0.5273 0.2910
Se 0.7364 0.4727 0.7090
Se 0.7688 0.5376 0.2996
Se 0.2312 0.4624 0.7004
Se 0.7688 0.0309 0.2996
Se 0.2312 0.9691 0.7004
Se 0.2621 0.0308 0.2996
Se 0.7379 0.9692 0.7004
! Magnetic moment in μB/atom: 0.400
! DOS(E_F) in states/eV/atom: 1.544
! Raw formation energy in eV/atom: -1.587

> The highest DOS(E_F) belongs to which entry?

K3CeNp2Se6